1.
Crystalline TbDyIn2Se4 at its relaxed geometry. Source: Alexandria via LeMat-Bulk, functional GGA-PBE.

Results
Symmetry: P2/m
Final energy (hartree per atom): -0.17947

POSCAR file:
```
TbDyIn2Se4
1.0
-2.435 3.048 -1.434
-5.123 -1.189 6.171
2.147 4.254 5.399
Tb Dy In Se
1 1 2 4
direct
0.000 0.500 0.500 Tb
0.500 0.500 0.000 Dy
0.000 0.000 0.000 In
0.500 0.000 0.500 In
0.000 0.708 0.765 Se
0.000 0.292 0.235 Se
0.500 0.709 0.263 Se
0.500 0.291 0.737 Se
```

2.
Crystalline Dy6InTe3Se2 at its relaxed geometry. Source: Alexandria via LeMat-Bulk, functional GGA-PBE.

Results
Symmetry: C2/m
Final energy (hartree per atom): -0.19090

POSCAR file:
```
Dy6InTe3Se2
1.0
4.172 0.000 0.000
0.000 8.743 0.228
-2.086 -2.605 9.025
Dy In Te Se
6 1 3 2
direct
0.335 0.898 0.671 Dy
0.674 0.567 0.348 Dy
0.665 0.102 0.329 Dy
0.007 0.249 0.013 Dy
0.993 0.751 0.987 Dy
0.326 0.433 0.652 Dy
0.500 0.000 0.000 In
0.500 0.500 0.000 Te
0.834 0.170 0.668 Te
0.166 0.830 0.332 Te
0.832 0.664 0.664 Se
0.168 0.336 0.336 Se
```

3.
Crystalline Dy3TiIn3Se8 at its relaxed geometry. Source: Alexandria via LeMat-Bulk, functional GGA-PBE.

Results
Symmetry: R-3m
Final energy (hartree per atom): -0.18731

POSCAR file:
```
Dy3TiIn3Se8
1.0
8.063 0.000 0.000
-4.031 6.982 -0.028
0.000 -4.625 7.713
Dy Ti In Se
3 1 3 8
direct
0.500 0.000 0.500 Dy
0.500 0.500 0.500 Dy
0.000 0.500 0.500 Dy
0.000 0.000 0.500 Ti
0.000 0.000 0.000 In
0.000 0.500 0.000 In
0.500 0.500 0.000 In
0.262 0.525 0.287 Se
0.738 0.475 0.713 Se
0.780 0.559 0.299 Se
0.220 0.441 0.701 Se
0.780 0.020 0.299 Se
0.220 0.980 0.701 Se
0.240 0.020 0.299 Se
0.760 0.980 0.701 Se
```

4.
Crystalline Dy2TmIn3Se6 at its relaxed geometry. Source: Alexandria via LeMat-Bulk, functional GGA-PBE.

Results
Symmetry: C2/m
Final energy (hartree per atom): -0.17873

POSCAR file:
```
Dy2TmIn3Se6
1.0
7.158 -0.001 0.000
-3.578 6.200 0.000
-1.194 -2.067 7.747
Dy Tm In Se
2 1 3 6
direct
0.333 0.667 0.000 Dy
0.667 0.333 0.000 Dy
0.000 0.000 0.000 Tm
0.168 0.832 0.500 In
0.832 0.168 0.500 In
0.500 0.500 0.500 In
0.931 0.601 0.793 Se
0.739 0.739 0.208 Se
0.069 0.399 0.207 Se
0.601 0.931 0.793 Se
0.261 0.261 0.792 Se
0.399 0.069 0.207 Se
```

5.
Crystalline DyTm2In3Se6 at its relaxed geometry. Source: Alexandria via LeMat-Bulk, functional GGA-PBE.

Results
Symmetry: C2/m
Final energy (hartree per atom): -0.17818

POSCAR file:
```
DyTm2In3Se6
1.0
-3.993 5.826 -0.957
0.711 -2.803 6.515
7.310 3.455 -0.611
Dy Tm In Se
1 2 3 6
direct
0.000 0.000 0.000 Dy
0.333 0.667 0.000 Tm
0.667 0.333 0.000 Tm
0.166 0.834 0.500 In
0.834 0.166 0.500 In
0.500 0.500 0.500 In
0.931 0.595 0.794 Se
0.732 0.732 0.205 Se
0.069 0.405 0.206 Se
0.595 0.931 0.794 Se
0.268 0.268 0.795 Se
0.405 0.069 0.206 Se
```

6.
Crystalline Dy3UIn3Se8 at its relaxed geometry. Source: Alexandria via LeMat-Bulk, functional GGA-PBE.

Results
Symmetry: R-3m
Final energy (hartree per atom): -0.19642

POSCAR file:
```
Dy3UIn3Se8
1.0
-8.210 0.500 -0.835
4.346 -5.088 -4.853
-1.038 -2.485 8.720
Dy U In Se
3 1 3 8
direct
0.500 0.000 0.500 Dy
0.500 0.500 0.500 Dy
0.000 0.500 0.500 Dy
0.000 0.000 0.500 U
0.000 0.000 0.000 In
0.000 0.500 0.000 In
0.500 0.500 0.000 In
0.264 0.528 0.293 Se
0.736 0.472 0.707 Se
0.767 0.534 0.295 Se
0.233 0.466 0.705 Se
0.767 0.027 0.295 Se
0.233 0.973 0.705 Se
0.260 0.027 0.295 Se
0.740 0.973 0.705 Se
```

7.
Crystalline DyU3In3Se8 at its relaxed geometry. Source: Alexandria via LeMat-Bulk, functional GGA-PBE.

Results
Symmetry: R-3m
Final energy (hartree per atom): -0.21964

POSCAR file:
```
DyU3In3Se8
1.0
8.251 0.000 0.000
-4.125 7.145 -0.030
0.000 -4.733 7.825
Dy U In Se
1 3 3 8
direct
0.000 0.000 0.500 Dy
0.500 0.000 0.500 U
0.500 0.500 0.500 U
0.000 0.500 0.500 U
0.000 0.000 0.000 In
0.000 0.500 0.000 In
0.500 0.500 0.000 In
0.263 0.526 0.290 Se
0.737 0.474 0.710 Se
0.764 0.528 0.293 Se
0.236 0.472 0.707 Se
0.764 0.029 0.293 Se
0.236 0.971 0.707 Se
0.265 0.029 0.293 Se
0.735 0.971 0.707 Se
```

8.
Crystalline Dy2UIn3Se6 at its relaxed geometry. Source: Alexandria via LeMat-Bulk, functional GGA-PBE.

Results
Symmetry: C2/m
Final energy (hartree per atom): -0.19279

POSCAR file:
```
Dy2UIn3Se6
1.0
7.192 0.002 0.001
-3.593 6.230 0.001
-1.200 -2.077 7.782
Dy U In Se
2 1 3 6
direct
0.333 0.667 0.000 Dy
0.667 0.333 0.000 Dy
0.000 0.000 0.000 U
0.167 0.833 0.500 In
0.833 0.167 0.500 In
0.500 0.500 0.500 In
0.931 0.596 0.792 Se
0.735 0.735 0.208 Se
0.069 0.404 0.208 Se
0.596 0.931 0.792 Se
0.265 0.265 0.792 Se
0.404 0.069 0.208 Se
```